InBi2Te6 after structural relaxation. Source: Alexandria, functional GGA-PBE.

Calculated values
Formation energy from raw total energies ... 1.11 eV per formula unit
Calculated volume ... 355 Å³/f.u.
VASP energy ... -56.5 eV for the cell shown

The structure in POSCAR format:
```
InBi2Te6
1.0
7.109 0.000 0.000
0.000 7.109 0.000
0.000 0.000 14.033
In Te Bi
2 12 4
Cartesian
3.555 3.555 0.000
0.000 0.000 7.016
2.199 2.199 2.240
2.199 2.199 11.793
2.096 2.096 7.016
5.651 1.459 0.000
5.754 1.356 9.257
4.910 4.910 2.240
1.356 5.754 4.776
1.459 5.651 0.000
1.356 5.754 9.257
4.910 4.910 11.793
5.013 5.013 7.016
5.754 1.356 4.776
0.000 0.000 2.341
3.555 3.555 4.675
3.555 3.555 9.358
0.000 0.000 11.692
```

=====

LaBeGe3 after structural relaxation. Source: Alexandria, functional GGA-PBE.

Calculated values
Calculated volume ... 128 Å³/f.u.
Energy relative to the lowest polymorph listed for this composition ... 0.573 eV/atom
Formation energy ... 0.249 eV/atom
VASP energy ... -42.5 eV for the cell shown

The structure in POSCAR format:
```
LaBeGe3
1.0
-5.993 -1.786 8.459
3.156 -2.370 -9.751
3.422 -2.899 1.812
Be La Ge
2 2 6
Cartesian
0.016 -4.180 2.967
0.570 -2.875 -2.446
2.754 -3.015 -6.794
-2.168 -4.041 7.315
1.711 -1.449 0.906
0.737 -3.954 -4.488
2.134 -1.907 -3.852
-1.548 -5.148 4.373
0.000 0.000 0.000
-0.152 -3.101 5.009
```

=====

Sr4AgPb3 after structural relaxation. Source: Alexandria, functional GGA-PBE.

Calculated values
Calculated volume ... 270 Å³/f.u.
Formation energy ... -0.487 eV/atom
VASP energy ... -49.2 eV for the cell shown

The structure in POSCAR format:
```
Sr4AgPb3
1.0
5.791 0.000 0.000
0.000 8.055 0.000
0.000 0.000 11.582
Sr Pb Ag
8 6 2
Cartesian
0.012 5.984 8.686
5.779 2.071 2.895
2.895 2.070 0.000
2.895 2.070 5.791
0.012 2.071 8.686
5.779 5.984 2.895
2.895 5.985 0.000
2.895 5.985 5.791
2.878 0.000 2.895
2.883 4.028 2.895
0.000 0.000 0.000
2.912 0.000 8.686
2.908 4.028 8.686
0.000 0.000 5.791
0.000 4.028 0.000
0.000 4.028 5.791
```

=====

Y2ZnB after structural relaxation. Source: Alexandria, functional GGA-PBE.

Calculated values
Calculated volume ... 92 Å³/f.u.
Energy relative to the lowest polymorph listed for this composition ... 0.150 eV/atom
Formation energy ... 0.174 eV/atom
VASP energy ... -40.4 eV for the cell shown

The structure in POSCAR format:
```
Y2ZnB
1.0
7.308 0.000 0.000
0.000 7.308 0.000
3.654 3.654 3.438
Y B Zn
4 2 2
Cartesian
9.135 8.745 2.579
2.218 5.481 0.860
5.091 1.827 0.860
5.481 5.872 2.579
3.654 7.308 1.719
3.654 3.654 0.000
0.000 0.000 0.000
7.308 3.654 1.719
```

=====

Pa2TiSi2 after structural relaxation. Source: Alexandria, functional GGA-PBE.

Calculated values
Formation energy from raw total energies ... -2.59 eV per formula unit
Calculated volume ... 101 Å³/f.u.
VASP energy ... -80.6 eV for the cell shown

The structure in POSCAR format:
```
Pa2TiSi2
1.0
-3.334 0.686 2.639
-4.309 -2.021 -4.918
0.455 -6.448 2.251
Pa Si Ti
4 4 2
Cartesian
-4.222 -6.321 -0.176
-2.131 -4.401 1.966
-5.056 -3.382 -1.995
-2.966 -1.462 0.147
-0.367 -2.671 0.230
-1.218 -6.401 0.125
-3.487 -5.798 -2.898
-2.636 -2.068 -2.792
-1.927 -4.234 -1.334
0.000 0.000 0.000
```

=====

Ag4IBr3 after structural relaxation. Source: Alexandria, functional GGA-PBE.

Calculated values
Formation energy from raw total energies ... -2.45 eV per formula unit
Calculated volume ... 254 Å³/f.u.
Energy relative to the lowest polymorph listed for this composition ... 0.014 eV/atom
VASP energy ... -40.8 eV for the cell shown

The structure in POSCAR format:
```
Ag4IBr3
1.0
7.263 0.000 0.000
0.000 7.765 0.000
0.000 0.000 8.989
Br Ag I
6 8 2
Cartesian
3.958 2.594 6.759
0.327 5.172 2.264
0.327 5.172 6.725
0.293 1.320 4.495
3.925 6.445 0.000
3.958 2.594 2.230
6.515 6.490 4.495
4.792 1.262 4.495
1.212 2.555 6.769
1.161 6.504 0.000
1.212 2.555 2.220
4.843 5.210 6.715
4.843 5.210 2.274
2.883 1.276 0.000
3.593 6.458 4.495
7.224 1.307 0.000
```